1.
The following is a PBE calculation of a geometry-optimized MgZr5Ga3 structure, from the Alexandria database.

```
18
Lattice="-4.203 3.739 1.493 -4.797 -2.874 -6.306 -0.471 -3.572 7.620" Properties=species:S:1:pos:R:3 pbc="T T T"
Mg 0.000 0.000 0.000
Mg -2.101 1.870 0.746
Zr -3.355 -3.107 -1.664
Zr -4.015 -1.470 3.724
Zr -1.913 -3.339 2.978
Zr -5.457 -1.237 -0.917
Zr -6.734 -1.578 2.013
Zr -3.303 1.661 3.559
Zr -5.159 -1.687 6.721
Zr -2.737 -1.129 0.794
Zr -6.168 -4.368 -0.752
Zr -4.312 -1.019 -3.914
Ga -4.988 0.558 1.578
Ga -3.459 0.477 6.084
Ga -6.749 -2.640 4.631
Ga -4.483 -3.265 1.229
Ga -6.012 -3.184 -3.277
Ga -2.722 -0.067 -1.824
```

crystal system = hexagonal
ρ = 6.4 g/cm3
space group = No. 193
formation enthalpy at 0 K = -388.9 kJ/mol of formula units

---

2.
The following is a PBE calculation of a geometry-optimized OsRuSe structure, from the Alexandria database.

```
3
Lattice="-1.666 3.822 -0.547 -3.630 0.434 -2.078 -3.492 1.088 2.074" Properties=species:S:1:pos:R:3 pbc="T T T"
Os -6.591 4.007 -0.413
Ru 0.000 0.000 0.000
Se -4.394 2.671 -0.275
```

energy above the lowest structure with this stoichiometry = 160 meV/atom
crystal system = cubic
ρ = 11.7 g/cm3
space group = No. 216

---

3.
The following is a PBE calculation of a geometry-optimized Pm2MgAg structure, from the Alexandria database.

```
4
Lattice="5.373 0.000 0.000 2.686 4.653 0.000 2.686 1.551 4.387" Properties=species:S:1:pos:R:3 pbc="T T T"
Mg 0.000 0.000 0.000
Ag 5.373 3.102 2.193
Pm 2.686 1.551 1.097
Pm 8.059 4.653 3.290
```

energy above the lowest structure with this stoichiometry = 47 meV/atom
crystal system = cubic
ρ = 6.4 g/cm3
space group = No. 225
formation enthalpy at 0 K = -53.3 kJ/mol of formula units

---

4.
The following is a PBE calculation of a geometry-optimized IrPdRhN2 structure, from the Alexandria database.

```
5
Lattice="-2.377 1.793 -2.288 2.410 -2.086 -4.137 -2.334 -2.939 0.122" Properties=species:S:1:pos:R:3 pbc="T T T"
Ir -1.151 -1.616 -3.152
Rh 0.000 0.000 0.000
Pd 1.205 -1.043 -2.068
N -1.167 -1.469 0.061
N -1.188 0.897 -1.144
```

crystal system = tetragonal
ρ = 9.7 g/cm3
space group = No. 123
total DFT energy (no corrections) = -5.968 eV per atom

---

5.
The following is a PBE calculation of a geometry-optimized Dy4GaSnN structure, from the Alexandria database.

```
14
Lattice="-1.438 6.210 -1.691 -2.271 1.133 6.092 7.913 -0.824 3.103" Properties=species:S:1:pos:R:3 pbc="T T T"
Dy 4.611 5.258 2.528
Dy 4.328 2.762 6.462
Dy -0.407 1.261 4.976
Dy -0.125 3.757 1.042
Dy 2.102 3.260 3.752
Dy 3.956 -0.412 1.551
Dy 3.237 2.693 0.706
Dy 2.821 0.155 4.598
Ga -0.764 4.481 4.244
Ga 4.968 2.039 3.260
Sn 0.980 0.774 2.009
Sn 3.224 5.745 5.495
N 1.868 1.982 5.690
N 2.335 4.537 1.814
```

crystal system = orthorhombic
ρ = 8.3 g/cm3
space group = No. 63
total DFT energy (no corrections) = -5.716 eV per atom

---

6.
The following is a PBE calculation of a geometry-optimized Nd3Ga3Hg structure, from the Alexandria database.

```
14
Lattice="-3.608 2.524 -1.231 -4.911 -1.250 3.340 1.630 10.796 8.867" Properties=species:S:1:pos:R:3 pbc="T T T"
Nd -2.452 7.671 5.932
Nd -4.438 4.399 5.044
Nd -1.843 2.714 2.474
Nd -5.047 9.356 8.502
Nd -1.326 10.619 8.678
Nd -5.563 1.451 2.298
Ga -5.725 7.207 6.083
Ga -1.164 4.863 4.893
Ga -3.110 9.180 10.956
Ga -3.779 2.890 0.020
Ga -7.203 3.856 3.546
Ga 0.314 8.214 7.430
Hg -2.550 6.031 2.857
Hg -4.339 6.039 8.119
```

crystal system = monoclinic
ρ = 7.8 g/cm3
space group = No. 12
formation enthalpy at 0 K = -381.3 kJ/mol of formula units

---

7.
The following is a PBE calculation of a geometry-optimized Be3InOs structure, from the Alexandria database.

```
5
Lattice="-4.270 0.343 -0.106 -0.237 -1.739 3.909 0.270 3.901 1.752" Properties=species:S:1:pos:R:3 pbc="T T T"
Be -0.118 -0.870 1.954
Be 0.135 1.951 0.876
Be -2.135 0.172 -0.053
Os 0.000 0.000 0.000
In -2.118 1.252 2.778
```

energy above the lowest structure with this stoichiometry = 0 meV/atom
crystal system = cubic
ρ = 7.0 g/cm3
space group = No. 221
formation enthalpy at 0 K = 279.5 kJ/mol of formula units

---

8.
The following is a PBE calculation of a geometry-optimized CsRb2ErI6 structure, from the Alexandria database.

```
10
Lattice="9.044 0.000 0.000 4.522 7.833 0.001 4.522 2.612 7.824" Properties=species:S:1:pos:R:3 pbc="T T T"
Cs 13.566 7.833 4.325
Rb 9.044 5.222 3.221
Rb 4.522 2.612 7.417
Er 4.522 2.611 0.188
I 7.037 2.350 1.863
I 7.561 8.396 1.864
I 12.535 4.920 1.864
I 10.332 7.262 6.168
I 10.166 3.087 6.167
I 6.634 5.318 6.168
```

crystal system = trigonal
ρ = 3.7 g/cm3
space group = No. 146
total DFT energy (no corrections) = -3.130 eV per atom

---

9.
The following is a PBE calculation of a geometry-optimized K2LiSb structure, from the Alexandria database.

```
4
Lattice="-0.688 -4.664 -2.255 2.682 -4.149 1.705 -3.666 -4.158 3.660" Properties=species:S:1:pos:R:3 pbc="T T T"
Sb -0.954 -3.394 1.253
K 1.752 -8.882 -0.335
K -0.977 -9.651 2.087
Li -0.334 -6.345 1.110
```

energy above the lowest structure with this stoichiometry = 45 meV/atom
crystal system = trigonal
ρ = 2.5 g/cm3
space group = No. 160

---

10.
The following is a PBE calculation of a geometry-optimized ReOsPtRh structure, from the Alexandria database.

```
4
Lattice="2.679 0.000 -0.002 0.000 4.243 0.000 -1.326 0.000 5.205" Properties=species:S:1:pos:R:3 pbc="T T T"
Re 0.099 0.000 3.328
Os 1.448 2.121 4.812
Pt 1.435 0.000 0.756
Rh 1.438 2.121 2.235
```

crystal system = monoclinic
ρ = 18.9 g/cm3
space group = No. 6
formation enthalpy at 0 K = 42.0 kJ/mol of formula units

---

11.
The following is a PBE calculation of a geometry-optimized BeBP structure, from the Alexandria database.

```
12
Lattice="-4.608 -2.352 -5.839 1.124 -3.303 0.443 -3.260 -0.308 5.972" Properties=species:S:1:pos:R:3 pbc="T T T"
P -3.896 -1.784 -3.413
P -3.973 -0.876 3.547
P -4.964 -3.589 -0.206
P -1.781 -2.374 0.783
B -3.674 -2.094 0.169
B -3.070 -3.869 0.408
B -1.482 -3.592 -2.595
B -2.002 -2.063 -2.800
Be -4.739 -1.805 -1.433
Be -3.129 -0.855 1.567
Be -5.808 -3.611 1.775
Be -0.937 -2.352 -1.198
```

energy above the lowest structure with this stoichiometry = 35 meV/atom
crystal system = monoclinic
ρ = 1.9 g/cm3
space group = No. 12
formation enthalpy at 0 K = 10.7 kJ/mol of formula units

---

12.
The following is a PBE calculation of a geometry-optimized Y4ZrMn structure, from the Alexandria database.

```
6
Lattice="-4.256 0.521 4.596 -0.425 5.333 3.300 -4.979 3.765 -0.739" Properties=species:S:1:pos:R:3 pbc="T T T"
Y -3.837 6.270 4.333
Y -5.749 3.870 4.979
Y -6.109 5.488 2.318
Y -3.625 3.610 2.686
Zr -7.245 7.214 5.368
Mn 0.000 0.000 0.000
```

crystal system = cubic
ρ = 4.7 g/cm3
space group = No. 216
formation enthalpy at 0 K = 399.2 kJ/mol of formula units

---

13.
The following is a PBE calculation of a geometry-optimized Al3AgBi structure, from the Alexandria database.

```
5
Lattice="-4.298 -1.421 2.001 1.185 -4.736 -0.818 2.150 -0.231 4.453" Properties=species:S:1:pos:R:3 pbc="T T T"
Bi -0.482 -3.194 2.818
Ag 0.000 0.000 0.000
Al 0.593 -2.368 -0.409
Al 1.075 -0.116 2.226
Al -2.149 -0.711 1.001
```

energy above the lowest structure with this stoichiometry = 0 meV/atom
crystal system = cubic
ρ = 5.4 g/cm3
space group = No. 221
formation enthalpy at 0 K = 199.2 kJ/mol of formula units

---

14.
The following is a PBE calculation of a geometry-optimized RbAsO3 structure, from the Alexandria database.

```
10
Lattice="-3.031 0.609 2.068 -0.164 -2.322 -2.901 3.787 -11.391 8.904" Properties=species:S:1:pos:R:3 pbc="T T T"
As 0.000 0.000 0.000
As 1.893 -5.695 4.452
O 0.947 -2.848 2.226
O 2.840 -8.543 6.678
O 2.492 -12.207 7.246
O 0.950 -7.569 3.621
O -0.357 -5.535 4.450
O -1.899 -0.897 0.825
Rb 1.721 -9.888 5.433
Rb -1.128 -3.216 2.638
```

crystal system = hexagonal
ρ = 3.9 g/cm3
space group = No. 194
total DFT energy (no corrections) = -4.059 eV per atom

---

15.
The following is a PBE calculation of a geometry-optimized Os2WC structure, from the Alexandria database.

```
8
Lattice="5.157 0.000 0.000 0.000 5.157 0.000 2.579 2.579 4.971" Properties=species:S:1:pos:R:3 pbc="T T T"
C 2.579 2.579 0.000
C 2.579 5.157 2.486
Os 3.452 1.289 1.243
Os 1.705 3.868 1.243
Os 3.868 4.284 3.728
Os 6.447 6.031 3.728
W 0.000 0.000 0.000
W 5.157 2.579 2.486
```

crystal system = tetragonal
ρ = 14.5 g/cm3
space group = No. 122
formation enthalpy at 0 K = 332.9 kJ/mol of formula units

---

16.
The following is a PBE calculation of a geometry-optimized Th2B6Ir9 structure, from the Alexandria database.

```
17
Lattice="5.686 0.000 0.000 -2.843 4.924 0.000 0.000 0.000 8.727" Properties=species:S:1:pos:R:3 pbc="T T T"
Th 0.000 0.000 6.152
Th 0.000 0.000 2.575
B 0.000 3.283 0.000
B 2.843 1.641 0.000
B 0.000 3.283 5.831
B 2.843 1.641 5.831
B 2.843 1.641 2.896
B 0.000 3.283 2.896
Ir 2.843 0.000 7.314
Ir -1.421 2.462 7.314
Ir 1.421 2.462 7.314
Ir 2.843 0.000 1.413
Ir -1.421 2.462 1.413
Ir 1.421 2.462 1.413
Ir 2.843 0.000 4.363
Ir -1.421 2.462 4.363
Ir 1.421 2.462 4.363
```

crystal system = hexagonal
ρ = 15.4 g/cm3
space group = No. 191
formation enthalpy at 0 K = -1011.8 kJ/mol of formula units

---

17.
The following is a PBE calculation of a geometry-optimized CaLa2Sn2 structure, from the Alexandria database.

```
10
Lattice="4.739 0.000 0.000 0.000 8.302 0.000 0.000 0.000 8.302" Properties=species:S:1:pos:R:3 pbc="T T T"
Ca 0.000 0.000 0.000
Ca 0.000 4.151 4.151
La 2.370 1.454 5.605
La 2.370 5.605 6.848
La 2.370 6.848 2.697
La 2.370 2.697 1.454
Sn 0.000 3.120 7.271
Sn 0.000 7.271 5.182
Sn 0.000 5.182 1.031
Sn 0.000 1.031 3.120
```

energy above the lowest structure with this stoichiometry = 0 meV/atom
crystal system = tetragonal
ρ = 5.6 g/cm3
space group = No. 127
formation enthalpy at 0 K = -367.5 kJ/mol of formula units

---

18.
The following is a PBE calculation of a geometry-optimized Sn2GeBAu structure, from the Alexandria database.

```
5
Lattice="5.669 0.000 0.000 0.000 3.661 0.000 0.000 0.000 5.669" Properties=species:S:1:pos:R:3 pbc="T T T"
Ge 0.000 0.000 0.000
B 0.000 1.831 0.000
Au 2.834 1.831 2.834
Sn 0.000 0.000 2.834
Sn 2.834 0.000 0.000
```

crystal system = tetragonal
ρ = 7.3 g/cm3
space group = No. 123
formation enthalpy at 0 K = 376.1 kJ/mol of formula units

---

19.
The following is a PBE calculation of a geometry-optimized LiSnF structure, from the Alexandria database.

```
3
Lattice="-2.155 -1.214 1.974 3.013 -0.953 0.168 1.488 5.600 5.069" Properties=species:S:1:pos:R:3 pbc="T T T"
Li 0.312 1.674 3.907
Sn 1.488 5.599 5.069
F 2.035 1.761 3.305
```

energy above the lowest structure with this stoichiometry = 101 meV/atom
crystal system = hexagonal
ρ = 3.6 g/cm3
space group = No. 187

---

20.
The following is a PBE calculation of a geometry-optimized Nd3Sm6Dy2Tl structure, from the Alexandria database.

```
12
Lattice="-1.085 -4.416 4.285 4.899 -0.494 -3.847 5.294 7.474 7.501" Properties=species:S:1:pos:R:3 pbc="T T T"
Nd 6.537 2.582 1.274
Nd 2.570 -0.018 6.665
Nd 4.554 1.282 3.969
Sm 5.912 1.300 7.337
Sm 4.173 -1.864 2.172
Sm 3.195 1.264 0.602
Sm 7.869 2.583 4.677
Sm 4.934 4.428 5.767
Sm 1.238 -0.019 3.261
Dy 2.899 -1.805 -1.129
Dy 0.915 -3.105 1.567
Tl 0.000 0.000 0.000
```

crystal system = monoclinic
ρ = 7.9 g/cm3
space group = No. 12
formation enthalpy at 0 K = -12.3 kJ/mol of formula units

---

21.
The following is a PBE calculation of a geometry-optimized ZrSbOs3 structure, from the Alexandria database.

```
5
Lattice="-3.086 3.249 1.893 1.048 -1.609 4.469 3.611 3.243 0.321" Properties=species:S:1:pos:R:3 pbc="T T T"
Sb 0.786 2.441 3.342
Os 0.524 -0.805 2.235
Os 1.806 1.622 0.161
Os -1.543 1.624 0.947
Zr 0.000 0.000 0.000
```

energy above the lowest structure with this stoichiometry = 498 meV/atom
crystal system = cubic
ρ = 11.3 g/cm3
space group = No. 221

---

22.
The following is a PBE calculation of a geometry-optimized HfNb3Hg structure, from the Alexandria database.

```
5
Lattice="5.027 0.000 0.000 0.000 5.027 0.000 0.000 0.000 5.027" Properties=species:S:1:pos:R:3 pbc="T T T"
Nb 0.000 2.513 0.000
Nb 0.000 0.000 2.513
Nb 2.513 0.000 0.000
Hf 2.513 2.513 2.513
Hg 0.000 0.000 0.000
```

energy above the lowest structure with this stoichiometry = 253 meV/atom
crystal system = cubic
ρ = 8.6 g/cm3
space group = No. 221
formation enthalpy at 0 K = 866.1 kJ/mol of formula units

---

23.
The following is a PBE calculation of a geometry-optimized CaScTl structure, from the Alexandria database.

```
6
Lattice="-1.548 2.884 -2.038 -4.552 -2.645 -0.284 -1.713 2.098 7.916" Properties=species:S:1:pos:R:3 pbc="T T T"
Sc -2.106 2.039 -0.592
Sc -2.227 1.875 2.917
Ca -5.147 1.808 1.395
Ca -5.318 1.710 5.033
Tl -3.643 -0.678 0.382
Tl -2.177 1.463 5.943
```

energy above the lowest structure with this stoichiometry = 147 meV/atom
crystal system = orthorhombic
ρ = 5.8 g/cm3
space group = No. 38
formation enthalpy at 0 K = -40.3 kJ/mol of formula units

---

24.
The following is a PBE calculation of a geometry-optimized Mg3Tl2Cl8 structure, from the Alexandria database.

```
13
Lattice="-0.232 -1.335 6.404 -3.830 -6.407 -1.474 8.394 -0.026 -2.064" Properties=species:S:1:pos:R:3 pbc="T T T"
Mg -0.116 -0.667 3.202
Mg -0.990 -1.657 -0.381
Mg -2.840 -4.750 -1.093
Tl 3.432 -2.196 0.626
Tl 0.900 -5.571 2.240
Cl -0.829 -5.122 4.781
Cl 5.160 -2.645 -1.915
Cl 0.991 -1.794 5.221
Cl 3.341 -5.973 -2.355
Cl 4.103 -5.189 1.250
Cl 6.179 -1.717 2.048
Cl -1.847 -6.050 0.817
Cl 0.229 -2.578 1.616
```

crystal system = monoclinic
ρ = 3.4 g/cm3
space group = No. 12
total DFT energy (no corrections) = -3.466 eV per atom